# 1
# Pm6CdAg5

A geometry-optimized Pm6CdAg5 structure (PBE, Alexandria via LeMat-Bulk).

a = 5.3193 Å, b = 7.4268 Å, c = 8.4206 Å
α = 90.00°, β = 108.58°, γ = 90.00°
Sites, in units of the cell vectors:
Pm: 0.5000 0.7434 0.0000
Ag: 0.6643 0.5000 0.3322
Ag: 0.6593 0.0000 0.3225
Pm: 0.8318 0.7484 0.6616
Cd: 0.0000 0.0000 0.0000
Pm: 0.1682 0.2516 0.3384
Ag: 0.3357 0.5000 0.6678
Ag: 0.3407 0.0000 0.6775
Pm: 0.5000 0.2566 0.0000
Ag: 0.0000 0.5000 0.0000
Pm: 0.8318 0.2516 0.6616
Pm: 0.1682 0.7484 0.3384

Energy above the most stable polymorph in this dataset, meV per atom: 0
V, Å³/f.u.: 315
Formation enthalpy at 0 K, eV/atom: -0.28
Size of the total moment, μB per formula unit: 0.00
Crystal system: monoclinic
Total energy, hartree per atom: -0.1439

# 2
# PrOs4O12

A geometry-optimized PrOs4O12 structure (PBE, Alexandria via LeMat-Bulk).

a = 6.6597 Å, b = 6.6597 Å, c = 6.6597 Å
α = 109.47°, β = 109.47°, γ = 109.47°
Sites, in units of the cell vectors:
O: 0.9988 0.2418 0.7570
O: 0.4848 0.2418 0.2430
Os: 0.0000 0.0000 0.5000
O: 0.2430 0.0012 0.7582
O: 0.0012 0.7582 0.2430
Os: 0.5000 0.5000 0.5000
O: 0.7582 0.7570 0.5152
O: 0.2430 0.4848 0.2418
O: 0.7570 0.9988 0.2418
O: 0.7582 0.2430 0.0012
O: 0.2418 0.2430 0.4848
Os: 0.0000 0.5000 0.0000
Os: 0.5000 0.0000 0.0000
O: 0.7570 0.5152 0.7582
O: 0.5152 0.7582 0.7570
O: 0.2418 0.7570 0.9988
Pr: 0.0000 0.0000 0.0000

Formation energy (no corrections), eV/atom: -1.245
V, Å³/f.u.: 227
Size of the total moment, μB per formula unit: 0.00
Crystal system: cubic
Total energy, hartree per atom: -0.2818

# 3
# FeTc2As

A geometry-optimized FeTc2As structure (PBE, Alexandria via LeMat-Bulk).

a = 2.9188 Å, b = 2.9188 Å, c = 6.4307 Å
α = 90.00°, β = 90.00°, γ = 90.00°
Last column: magnetic moment on the atom in μB.
Sites, in units of the cell vectors:
Fe: 0.5000 0.5000 0.7264  1.54
Tc: 0.5000 0.5000 0.2555  0.00
As: 0.0000 0.0000 0.5246  -0.04
Tc: 0.0000 0.0000 0.9935  0.03

Energy above the most stable polymorph in this dataset, meV per atom: 54
V, Å³/f.u.: 55
Formation enthalpy at 0 K, eV/atom: 0.06
Size of the total moment, μB per formula unit: 1.49
Crystal system: tetragonal
Total energy, hartree per atom: -0.3086

# 4
# YCuGe2

A geometry-optimized YCuGe2 structure (PBE, Alexandria via LeMat-Bulk).

a = 4.1174 Å, b = 4.2487 Å, c = 4.2487 Å
α = 90.00°, β = 90.00°, γ = 90.00°
Sites, in units of the cell vectors:
Y: 0.5000 0.0000 0.0000
Ge: 0.0000 0.5000 0.0000
Ge: 0.0000 0.0000 0.5000
Cu: 0.5000 0.5000 0.5000

V, Å³/f.u.: 74
Formation enthalpy at 0 K, eV/atom: -0.37
Size of the total moment, μB per formula unit: 0.00
Crystal system: tetragonal
Total energy, hartree per atom: -0.1956